# 1
A plane-wave DFT calculation with PBE was carried out for crystalline PaInNi at its relaxed geometry.

abc: 4.5459 4.5459 4.5459
angles: 60.00 60.00 60.00
Sites, in units of the cell vectors:
Ni 0.2500 0.2500 0.2500
Pa 0.0000 0.0000 0.0000
In 0.5000 0.5000 0.5000

Output
Final energy = -6.24 eV per atom
Energy relative to the elements = -0.2307 eV/atom
Density of states at the Fermi level = 1.69 states/eV per cell



# 2
A plane-wave DFT calculation with PBE was carried out for crystalline Ce2SmMg at its relaxed geometry.

abc: 5.5479 5.5479 5.5479
angles: 60.00 60.00 60.00
Each line ends with the local moment (μB).
Sites, in units of the cell vectors:
Mg 0.5000 0.5000 0.5000  0.00
Ce 0.2500 0.2500 0.2500  0.84
Ce 0.7500 0.7500 0.7500  0.84
Sm 0.0000 0.0000 0.0000  0.22

Output
Final energy = -4.35 eV per atom
Energy relative to the elements = 0.1910 eV/atom
Density of states at the Fermi level = 14.24 states/eV per cell



# 3
A plane-wave DFT calculation with PBE was carried out for crystalline Tb8Ag2Te at its relaxed geometry.

abc: 5.7076 8.1229 8.1229
angles: 116.19 99.17 99.17
Sites, in units of the cell vectors:
Tb 0.8886 0.9157 0.6811
Tb 0.8886 0.6811 0.9157
Tb 0.3012 0.6029 0.6029
Tb 0.5000 0.7619 0.2381
Tb 0.5000 0.2381 0.7619
Tb 0.6988 0.3971 0.3971
Tb 0.1114 0.3189 0.0843
Tb 0.1114 0.0843 0.3189
Ag 0.0000 0.3064 0.6936
Ag 0.0000 0.6936 0.3064
Te 0.5000 0.0000 0.0000

Output
Final energy = -4.34 eV per atom
ΔE_f (raw) = -0.17 eV per atom
Density of states at the Fermi level = 14.83 states/eV per cell



# 4
A plane-wave DFT calculation with PBE was carried out for crystalline Re3IrF at its relaxed geometry.

abc: 4.1544 4.1544 4.1544
angles: 90.00 90.00 90.00
Sites, in units of the cell vectors:
Re 0.0000 0.5000 0.0000
Re 0.0000 0.0000 0.5000
Re 0.5000 0.0000 0.0000
Ir 0.5000 0.5000 0.5000
F 0.0000 0.0000 0.0000

Output
Final energy = -8.39 eV per atom
ΔE_f (raw) = 1.23 eV per atom
Density of states at the Fermi level = 6.16 states/eV per cell